Entry 1:
DFT (meta-GGA SCAN) results for a crystal of CaTcW relaxed with PBEsol.

```
3
Lattice="2.821 0.008 0.000 -1.036 2.624 0.000 -0.892 -1.316 7.210" Properties=species:S:1:pos:R:3 pbc="T T T"
Ca 0.000 0.000 0.059
Tc 0.892 1.316 2.586
W 0.000 0.000 4.565
```

Results
* calculated total energy: -112.4 eV/cell
* ΔE to the lowest computed polymorph: 0 meV/atom
* ΔE_f: 0.6641 eV/atom
* total magnetization: 0.00 μB/atom


Entry 2:
DFT (meta-GGA SCAN) results for a crystal of Ba3HgO relaxed with PBEsol.

```
5
Lattice="5.425 0.000 0.000 0.000 5.425 0.000 0.000 0.000 5.425" Properties=species:S:1:pos:R:3 pbc="T T T"
Hg 2.712 2.712 2.712
O 0.000 0.000 0.000
Ba 0.000 2.712 0.000
Ba 0.000 0.000 2.712
Ba 2.712 0.000 0.000
```

Results
* calculated total energy: -199.7 eV/cell
* total magnetization: 0.00 μB/atom


Entry 3:
DFT (meta-GGA SCAN) results for a crystal of ZnRu2Se relaxed with PBEsol.

```
4
Lattice="-1.988 -2.131 0.216 2.258 -2.423 -3.116 2.499 0.085 4.068" Properties=species:S:1:pos:R:3 pbc="T T T"
Ru 0.715 -2.274 3.919
Ru 2.316 -2.159 0.018
Se 0.282 -2.417 -1.475
Zn 0.100 -1.941 1.541
```

Results
* calculated total energy: -102.6 eV/cell
* total magnetization: 0.00 μB/atom